No. 1
Below is Th4GaAs3 after structural relaxation, with properties calculated at the PBE-GGA level.

The structure in extended XYZ format:
```
8
Lattice="-5.050 0.089 -3.309 -1.921 -4.994 2.798 -2.695 3.393 4.205" Properties=species:S:1:pos:R:3 pbc="T T T"
As -2.308 -0.800 3.502
As -3.873 1.741 0.448
As -3.486 -2.452 -0.255
Ga 0.000 0.000 0.000
Th -2.525 0.044 -1.654
Th -0.961 -2.497 1.399
Th -1.348 1.697 2.102
Th -4.833 -0.756 1.847
```

Output
energy	-55.91	eV per cell
energy relative to the elements	-1157	meV/atom
DOS(E_F)	3.61	states/eV per cell
space group	No. 221
spin magnetization	0.0	μB/cell

=====

No. 2
Below is CsTeS2 after structural relaxation, with properties calculated at the PBE-GGA level.

The structure in extended XYZ format:
```
16
Lattice="-3.874 -5.168 3.241 7.100 -8.944 -5.777 -3.067 9.617 11.670" Properties=species:S:1:pos:R:3 pbc="T T T"
Cs -0.004 -4.607 4.478
Cs 0.163 0.112 4.655
Cs -0.118 -7.118 0.338
Cs 0.277 2.622 8.795
Te -3.540 0.014 8.305
Te 3.699 -4.509 0.828
Te 0.021 -2.561 8.456
Te 0.137 -1.935 0.677
S 5.803 -9.135 -4.488
S -5.644 4.639 13.621
S -1.748 2.983 5.810
S 1.906 -7.478 3.323
S 2.068 -4.369 -0.877
S -1.910 -0.126 10.010
S 1.758 -2.088 2.390
S -1.599 -2.407 6.743
```

Output
energy	-57.57	eV per cell
space group	No. 13
spin magnetization	0.0	μB/cell

=====

No. 3
Below is Ac2Ga4Cu3Rh after structural relaxation, with properties calculated at the PBE-GGA level.

The structure in extended XYZ format:
```
10
Lattice="-0.632 -3.112 3.036 2.907 -2.583 -2.044 7.569 4.015 5.692" Properties=species:S:1:pos:R:3 pbc="T T T"
Ac 1.606 -0.537 2.963
Ac 7.100 1.703 3.224
Ga 1.138 -2.848 0.496
Ga 0.000 0.000 0.000
Ga 4.387 0.938 5.054
Ga 4.320 0.229 1.134
Cu 3.785 2.007 2.846
Cu 6.275 1.939 6.473
Cu 2.432 -0.772 -0.286
Rh 4.922 -0.841 3.342
```

Output
energy	-44.77	eV per cell
energy relative to the elements	-480	meV/atom
DOS(E_F)	5.66	states/eV per cell
space group	No. 115
spin magnetization	0.0	μB/cell

=====

No. 4
Below is Sr2Cr2H after structural relaxation, with properties calculated at the PBE-GGA level.

The structure in extended XYZ format:
```
10
Lattice="-5.673 6.539 0.702 -2.749 -1.515 -8.098 -2.603 -2.402 1.333" Properties=species:S:1:pos:R:3 pbc="T T T"
Sr -4.403 -0.928 -4.899
Sr -7.486 2.205 -5.276
Sr -6.622 3.551 -1.164
Sr -3.539 0.418 -0.787
H 0.000 0.000 0.000
H -4.211 2.512 -3.698
Cr -4.985 1.397 -7.220
Cr -6.838 5.208 -3.974
Cr -3.437 3.628 -0.176
Cr -1.583 -0.183 -3.422
```

Output
energy	-42.15	eV per cell
DOS(E_F)	9.81	states/eV per cell
space group	No. 127
energy above the lowest structure with this stoichiometry	0	meV per atom
spin magnetization	0.8	μB/cell

=====

No. 5
Below is ZrCrH2 after structural relaxation, with properties calculated at the PBE-GGA level.

The structure in extended XYZ format:
```
4
Lattice="0.000 2.704 2.704 2.704 0.000 2.704 2.704 2.704 0.000" Properties=species:S:1:pos:R:3 pbc="T T T"
Cr 0.000 0.000 0.000
Zr 2.704 2.704 2.704
H 1.352 1.352 1.352
H 4.055 4.055 4.055
```

Output
energy	-23.52	eV per cell
DOS(E_F)	2.03	states/eV per cell
space group	No. 225
energy above the lowest structure with this stoichiometry	393	meV per atom
spin magnetization	1.5	μB/cell

=====

No. 6
Below is NdGa4Au4 after structural relaxation, with properties calculated at the PBE-GGA level.

The structure in extended XYZ format:
```
18
Lattice="6.281 0.000 0.000 0.000 6.281 0.000 0.000 0.000 9.038" Properties=species:S:1:pos:R:3 pbc="T T T"
Nd 0.000 0.000 0.000
Nd 3.140 3.140 4.519
Ga 1.347 3.140 8.156
Ga 4.933 3.140 8.156
Ga 3.140 4.933 0.882
Ga 3.140 1.347 0.882
Ga 0.000 4.487 3.637
Ga 0.000 1.793 3.637
Ga 1.793 0.000 5.401
Ga 4.487 0.000 5.401
Au 3.140 4.841 7.294
Au 3.140 1.439 7.294
Au 4.841 3.140 1.743
Au 1.439 3.140 1.743
Au 1.701 0.000 2.776
Au 4.579 0.000 2.776
Au 0.000 1.701 6.262
Au 0.000 4.579 6.262
```

Output
energy	-67.08	eV per cell
energy relative to the elements	-395	meV/atom
DOS(E_F)	7.04	states/eV per cell
space group	No. 137
spin magnetization	0.0	μB/cell

=====

No. 7
Below is Pr2Se3Cl after structural relaxation, with properties calculated at the PBE-GGA level.

The structure in extended XYZ format:
```
12
Lattice="7.931 0.264 0.192 3.751 6.993 0.192 3.751 2.330 6.596" Properties=species:S:1:pos:R:3 pbc="T T T"
Pr 5.523 3.431 2.498
Pr 2.194 1.363 0.992
Pr 13.240 8.224 5.988
Pr 9.911 6.156 4.482
Se 6.666 2.062 5.043
Se 4.802 6.354 3.269
Se 7.824 3.568 0.414
Se 8.768 7.525 1.937
Se 10.632 3.233 3.712
Se 7.610 6.019 6.567
Cl 7.717 4.794 3.490
Cl 0.000 0.000 0.000
```

Output
energy	-62.34	eV per cell
DOS(E_F)	12.86	states/eV per cell
space group	No. 167
spin magnetization	0.0	μB/cell

=====

No. 8
Below is MnReSi3 after structural relaxation, with properties calculated at the PBE-GGA level.

The structure in extended XYZ format:
```
5
Lattice="4.690 0.000 0.000 0.000 4.690 0.000 0.000 0.000 4.690" Properties=species:S:1:pos:R:3 pbc="T T T"
Re 0.000 0.000 0.000
Si 0.000 2.345 0.000
Si 0.000 0.000 2.345
Si 2.345 0.000 0.000
Mn 2.345 2.345 2.345
```

Output
energy	-34.09	eV per cell
DOS(E_F)	2.45	states/eV per cell
space group	No. 221
energy above the lowest structure with this stoichiometry	0	meV per atom
spin magnetization	4.2	μB/cell